No. 1
{"formula": "Li3Al", "functional": "GGA-PBE", "state": "optimized geometry", "dos_ef_per_ev_cell": 1.4, "ef_ev_per_atom": -0.091, "spacegroup": "Immm (71)", "e_tot_ev_per_atom": -2.46, "density_g_cm3": 1.2, "lattice_angstrom": [[-1.597, 2.298, 4.507], [1.597, -2.298, 4.507], [1.597, 2.298, -4.507]], "species": ["Li", "Li", "Li", "Al"], "frac_coords": [[0.000, 0.000, 0.000], [0.243, 0.743, 0.500], [0.757, 0.257, 0.500], [0.500, 0.500, 0.000]]}

=====

No. 2
{"formula": "MgFeMo2", "functional": "GGA-PBE", "state": "optimized geometry", "dos_ef_per_ev_cell": 3.0, "ef_ev_per_atom": 0.278, "spacegroup": "P2/m (10)", "e_tot_ev_per_atom": -7.65, "density_g_cm3": 7.4, "lattice_angstrom": [[2.641, 0.000, 0.000], [0.000, 4.475, 0.000], [-1.258, 0.000, 5.144]], "species": ["Mg", "Fe", "Mo", "Mo"], "frac_coords": [[0.000, 0.000, 0.000], [0.500, 0.000, 0.500], [0.263, 0.500, 0.742], [0.737, 0.500, 0.258]]}

=====

No. 3
{"formula": "ZnPd4", "functional": "GGA-PBE", "state": "optimized geometry", "dos_ef_per_ev_cell": 5.9, "ef_ev_per_atom": 0.349, "spacegroup": "I4/mmm (139)", "e_tot_ev_per_atom": -4.06, "density_g_cm3": 8.7, "e_above_lowest_polymorph_ev_per_atom": 0.558, "lattice_angstrom": [[-2.497, 2.497, 3.746], [2.497, -2.497, 3.746], [2.497, 2.497, -3.746]], "species": ["Zn", "Pd", "Pd", "Pd", "Pd"], "frac_coords": [[0.000, 0.000, 0.000], [0.250, 0.750, 0.500], [0.334, 0.334, 0.000], [0.666, 0.666, 0.000], [0.750, 0.250, 0.500]]}

=====

No. 4
{"formula": "SiNiPt", "functional": "GGA-PBE", "state": "optimized geometry", "dos_ef_per_ev_cell": 1.8, "spacegroup": "P3m1 (156)", "e_tot_ev_per_atom": -6.06, "density_g_cm3": 11.6, "lattice_angstrom": [[2.855, 0.000, 0.000], [-1.428, 2.473, 0.000], [0.000, 0.000, 5.704]], "species": ["Si", "Ni", "Pt"], "frac_coords": [[0.000, 0.000, 0.000], [0.333, 0.667, 0.284], [0.667, 0.333, 0.668]]}

=====

No. 5
{"formula": "ScHg2Se", "functional": "GGA-PBE", "state": "optimized geometry", "dos_ef_per_ev_cell": 5.2, "spacegroup": "I-42d (122)", "e_tot_ev_per_atom": -3.00, "density_g_cm3": 9.0, "lattice_angstrom": [[-4.168, 4.168, 2.792], [4.168, -4.168, 2.792], [4.168, 4.168, -2.792]], "species": ["Sc", "Sc", "Hg", "Hg", "Hg", "Hg", "Se", "Se"], "frac_coords": [[0.000, 0.000, 0.000], [0.750, 0.250, 0.500], [0.120, 0.625, 0.995], [0.375, 0.370, 0.495], [0.630, 0.125, 0.005], [0.875, 0.880, 0.505], [0.250, 0.750, 0.500], [0.500, 0.500, 0.000]]}

=====

No. 6
{"formula": "Os2Cl8O", "functional": "GGA-PBE", "state": "optimized geometry", "dos_ef_per_ev_cell": 3.3, "spacegroup": "C2/m (12)", "e_tot_ev_per_atom": -4.31, "density_g_cm3": 3.5, "lattice_angstrom": [[5.674, -4.176, 0.000], [5.674, 4.176, 0.000], [-0.194, 0.000, 6.719]], "species": ["Os", "Os", "Cl", "Cl", "Cl", "Cl", "Cl", "Cl", "Cl", "Cl", "O"], "frac_coords": [[0.067, 0.067, 0.249], [0.933, 0.933, 0.751], [0.129, 0.129, 0.598], [0.209, 0.659, 0.726], [0.258, 0.258, 0.164], [0.341, 0.791, 0.274], [0.659, 0.209, 0.726], [0.742, 0.742, 0.836], [0.791, 0.341, 0.274], [0.871, 0.871, 0.402], [0.000, 0.000, 0.000]]}

=====

Q: What is the formula in the second record?
A: MgFeMo2